[1]
Entry from Alexandria via LeMat-Bulk: an optimized crystal structure of Y2RuPbO8 (PBE).

Output
D(E_F) = 0.34 states/eV/atom
Density = 5.95 g cm⁻³
Formation energy from raw total energies = -1895 meV per atom

Cell lengths 5.013, 5.013, 6.818 Å; angles 90.00, 90.00, 91.21 degrees
Sites, in units of the cell vectors:
Y: 0.000 0.000 0.249
Y: 0.000 0.000 0.751
Ru: 0.500 0.500 0.000
Pb: 0.500 0.500 0.500
O: 0.193 0.193 0.500
O: 0.233 0.233 0.000
O: 0.318 0.682 0.216
O: 0.318 0.682 0.784
O: 0.682 0.318 0.216
O: 0.682 0.318 0.784
O: 0.767 0.767 0.000
O: 0.807 0.807 0.500



[2]
Entry from Alexandria via LeMat-Bulk: an optimized crystal structure of YRuPb2O8 (PBE).

Output
D(E_F) = 0.27 states/eV/atom
Density = 7.22 g cm⁻³
Formation energy from raw total energies = -1367 meV per atom

Cell lengths 4.999, 6.720, 5.013 Å; angles 90.00, 90.41, 90.00 degrees
Sites, in units of the cell vectors:
Y: 0.000 0.000 0.000
Ru: 0.000 0.500 0.000
Pb: 0.500 0.256 0.500
Pb: 0.500 0.744 0.500
O: 0.186 0.281 0.183
O: 0.186 0.719 0.183
O: 0.282 0.500 0.713
O: 0.309 0.000 0.687
O: 0.691 0.000 0.313
O: 0.718 0.500 0.287
O: 0.814 0.281 0.817
O: 0.814 0.719 0.817



[3]
Entry from Alexandria via LeMat-Bulk: an optimized crystal structure of ZnRuPb2O6 (PBE).

Output
D(E_F) = 0.31 states/eV/atom
Density = 8.74 g cm⁻³
Formation energy from raw total energies = -1042 meV per atom

Cell lengths 5.638, 5.724, 9.755 Å; angles 90.00, 125.21, 90.00 degrees
Sites, in units of the cell vectors:
Zn: 0.000 0.000 0.000
Zn: 0.000 0.500 0.500
Ru: 0.500 0.000 0.500
Ru: 0.500 0.500 0.000
Pb: 0.240 0.041 0.747
Pb: 0.240 0.459 0.247
Pb: 0.760 0.541 0.753
Pb: 0.760 0.959 0.253
O: 0.179 0.198 0.459
O: 0.179 0.302 0.959
O: 0.258 0.722 0.453
O: 0.258 0.778 0.953
O: 0.345 0.029 0.261
O: 0.345 0.471 0.761
O: 0.655 0.529 0.239
O: 0.655 0.971 0.739
O: 0.742 0.222 0.047
O: 0.742 0.278 0.547
O: 0.821 0.698 0.041
O: 0.821 0.802 0.541



[4]
Entry from Alexandria via LeMat-Bulk: an optimized crystal structure of ZnRuPbO6 (PBE).

Output
D(E_F) = 0.52 states/eV/atom
Density = 6.92 g cm⁻³
Formation energy from raw total energies = -853 meV per atom

Cell lengths 5.287, 5.287, 9.307 Å; angles 90.00, 90.00, 120.00 degrees
Sites, in units of the cell vectors:
Zn: 0.333 0.667 0.250
Zn: 0.667 0.333 0.750
Ru: 0.333 0.667 0.750
Ru: 0.667 0.333 0.250
Pb: 0.000 0.000 0.000
Pb: 0.000 0.000 0.500
O: 0.020 0.377 0.635
O: 0.020 0.643 0.865
O: 0.357 0.377 0.865
O: 0.357 0.980 0.635
O: 0.377 0.020 0.135
O: 0.377 0.357 0.365
O: 0.623 0.643 0.635
O: 0.623 0.980 0.865
O: 0.643 0.020 0.365
O: 0.643 0.623 0.135
O: 0.980 0.357 0.135
O: 0.980 0.623 0.365



[5]
Entry from Alexandria via LeMat-Bulk: an optimized crystal structure of PbS2O (PBE).

Output
D(E_F) = 0.84 states/eV/atom
Density = 6.50 g cm⁻³
Formation energy from raw total energies = 706 meV per atom
Distance to the lowest polymorph of the same formula = 0.631 eV per atom

Cell lengths 4.700, 4.700, 4.700 Å; angles 60.00, 60.00, 60.00 degrees
Sites, in units of the cell vectors:
Pb: 0.000 0.000 0.000
S: 0.250 0.250 0.250
S: 0.750 0.750 0.750
O: 0.500 0.500 0.500



[6]
Entry from Alexandria via LeMat-Bulk: an optimized crystal structure of PbS2O6 (PBE).

Output
D(E_F) = 0.00 states/eV/atom
Density = 3.33 g cm⁻³
Formation energy from raw total energies = -1248 meV per atom
Distance to the lowest polymorph of the same formula = 0.000 eV per atom

Cell lengths 6.857, 6.857, 6.857 Å; angles 51.68, 51.68, 51.68 degrees
Sites, in units of the cell vectors:
Pb: 0.000 0.000 0.000
S: 0.604 0.604 0.604
S: 0.729 0.729 0.729
O: 0.320 0.646 0.786
O: 0.484 0.947 0.817
O: 0.646 0.786 0.320
O: 0.786 0.320 0.646
O: 0.817 0.484 0.947
O: 0.947 0.817 0.484



[7]
Entry from Alexandria via LeMat-Bulk: an optimized crystal structure of PbSO6 (PBE).

Output
D(E_F) = 0.46 states/eV/atom
Density = 5.62 g cm⁻³
Formation energy from raw total energies = -281 meV per atom

Cell lengths 4.673, 4.673, 4.680 Å; angles 97.79, 97.79, 97.61 degrees
Sites, in units of the cell vectors:
Pb: 0.000 0.000 0.000
S: 0.500 0.500 0.500
O: 0.251 0.572 0.252
O: 0.252 0.252 0.572
O: 0.428 0.749 0.748
O: 0.572 0.251 0.252
O: 0.748 0.748 0.428
O: 0.749 0.428 0.748



[8]
Entry from Alexandria via LeMat-Bulk: an optimized crystal structure of PbS2O (PBE).

Output
D(E_F) = 0.47 states/eV/atom
Density = 5.64 g cm⁻³
Formation energy from raw total energies = 536 meV per atom
Distance to the lowest polymorph of the same formula = 0.461 eV per atom

Cell lengths 6.623, 6.623, 6.623 Å; angles 34.82, 34.82, 34.82 degrees
Sites, in units of the cell vectors:
Pb: 0.000 0.000 0.000
S: 0.157 0.157 0.157
S: 0.843 0.843 0.843
O: 0.500 0.500 0.500



[9]
Entry from Alexandria via LeMat-Bulk: an optimized crystal structure of Pb3SO2 (PBE).

Output
Density = 7.38 g cm⁻³
Formation energy from raw total energies = -862 meV per atom

Cell lengths 7.444, 7.444, 5.970 Å; angles 90.00, 90.00, 111.06 degrees
Sites, in units of the cell vectors:
Pb: 0.102 0.898 0.750
Pb: 0.153 0.397 0.750
Pb: 0.397 0.153 0.250
Pb: 0.603 0.847 0.750
Pb: 0.847 0.603 0.250
Pb: 0.898 0.102 0.250
S: 0.242 0.758 0.250
S: 0.758 0.242 0.750
O: 0.174 0.174 0.000
O: 0.174 0.174 0.500
O: 0.826 0.826 0.000
O: 0.826 0.826 0.500



[10]
Entry from Alexandria via LeMat-Bulk: an optimized crystal structure of PbS4O12 (PBE).

Output
D(E_F) = 0.49 states/eV/atom
Density = 5.08 g cm⁻³
Formation energy from raw total energies = -24 meV per atom

Cell lengths 6.073, 6.073, 6.073 Å; angles 109.47, 109.47, 109.47 degrees
Sites, in units of the cell vectors:
Pb: 0.000 0.000 0.000
S: 0.000 0.000 0.500
S: 0.000 0.500 0.000
S: 0.500 0.000 0.000
S: 0.500 0.500 0.500
O: 0.095 0.294 0.800
O: 0.200 0.494 0.294
O: 0.200 0.905 0.706
O: 0.294 0.200 0.494
O: 0.294 0.800 0.095
O: 0.494 0.294 0.200
O: 0.506 0.706 0.800
O: 0.706 0.200 0.905
O: 0.706 0.800 0.506
O: 0.800 0.095 0.294
O: 0.800 0.506 0.706
O: 0.905 0.706 0.200



[11]
Entry from Alexandria via LeMat-Bulk: an optimized crystal structure of Pb2SO (PBE).

Output
D(E_F) = 0.00 states/eV/atom
Density = 6.71 g cm⁻³
Formation energy from raw total energies = -626 meV per atom
Distance to the lowest polymorph of the same formula = 0.065 eV per atom

Cell lengths 7.427, 7.427, 7.427 Å; angles 130.88, 130.88, 72.00 degrees
Sites, in units of the cell vectors:
Pb: 0.069 0.625 0.944
Pb: 0.375 0.319 0.444
Pb: 0.681 0.125 0.056
Pb: 0.875 0.931 0.556
S: 0.250 0.750 0.500
S: 0.500 0.500 0.000
O: 0.000 0.000 0.000
O: 0.750 0.250 0.500



[12]
Entry from Alexandria via LeMat-Bulk: an optimized crystal structure of Pb4S3O (PBE).

Output
Density = 7.41 g cm⁻³
Formation energy from raw total energies = -607 meV per atom

Cell lengths 11.611, 6.039, 6.014 Å; angles 90.00, 90.00, 90.00 degrees
Sites, in units of the cell vectors:
Pb: 0.000 0.171 0.000
Pb: 0.000 0.749 0.545
Pb: 0.233 0.735 0.008
Pb: 0.267 0.265 0.508
Pb: 0.500 0.251 0.045
Pb: 0.500 0.829 0.500
Pb: 0.733 0.265 0.508
Pb: 0.767 0.735 0.008
S: 0.000 0.265 0.541
S: 0.247 0.261 0.038
S: 0.253 0.739 0.538
S: 0.500 0.735 0.041
S: 0.747 0.739 0.538
S: 0.753 0.261 0.038
O: 0.000 0.794 0.923
O: 0.500 0.206 0.423